Compound: AlInRu2
Source: Alexandria
Functional: PBE-GGA
Structure: optimized geometry

Lattice parameters (Å, degrees): 4.4659 4.4659 4.4659 60.00 60.00 60.00
Positions (direct):
1 Al 0.0000 0.0000 0.0000
2 In 0.7500 0.7500 0.7500
3 Ru 0.2500 0.2500 0.2500
4 Ru 0.5000 0.5000 0.5000

## Properties
* D(E_F): 4.27 states/eV per cell
* DFT total energy: -6.09 eV per atom
* calculated formation energy: 0.17 eV per atom
* M_tot: 0.0 Bohr magnetons per cell
* space-group type: F-43m

---

Compound: AlIn2Ru
Source: Alexandria
Functional: PBE-GGA
Structure: optimized geometry

Lattice parameters (Å, degrees): 5.1102 5.1102 4.8124 99.25 99.25 36.60
Positions (direct):
1 Al 0.0000 0.0000 0.0000
2 In 0.2379 0.2379 0.7382
3 In 0.7621 0.7621 0.2618
4 Ru 0.5000 0.5000 0.5000

## Properties
* D(E_F): 1.95 states/eV per cell
* DFT total energy: -4.48 eV per atom
* calculated formation energy: 0.14 eV per atom
* M_tot: 0.0 Bohr magnetons per cell
* space-group type: C2/m

---

Compound: AlInRu2
Source: Alexandria
Functional: PBE-GGA
Structure: optimized geometry

Lattice parameters (Å, degrees): 4.4228 4.4228 3.1332 90.00 90.00 90.00
Positions (direct):
1 Al 0.0000 0.0000 0.0000
2 In 0.5000 0.5000 0.0000
3 Ru 0.0000 0.5000 0.5000
4 Ru 0.5000 0.0000 0.5000

## Properties
* D(E_F): 5.06 states/eV per cell
* DFT total energy: -6.46 eV per atom
* calculated formation energy: -0.20 eV per atom
* M_tot: 0.0 Bohr magnetons per cell
* space-group type: P4/mmm